TaTc2Ni, optimized geometry, DFT PBE-GGA; space group = No. 12; energy above the lowest structure with this stoichiometry = 0.1699 eV/atom; uncorrected energy = -9.58 eV/atom; crystal system = monoclinic
1.0
5.165 0.002 0.001
-2.459 4.542 0.001
0.505 0.848 2.501
Ni Tc Ta
1 2 1
direct
0.500 0.000 0.500 Ni
0.000 0.000 0.000 Tc
0.500 0.500 0.000 Tc
0.000 0.500 0.500 Ta

=====

TaTc2Ni, optimized geometry, DFT PBE-GGA; space group = No. 119; energy above the lowest structure with this stoichiometry = 0.0428 eV/atom; uncorrected energy = -9.71 eV/atom; crystal system = tetragonal
1.0
4.683 0.007 -0.004
1.388 4.473 0.004
-3.032 -2.244 2.775
Ni Ta Tc
1 1 2
direct
0.500 0.500 0.000 Ni
0.250 0.750 0.500 Ta
0.000 0.000 0.000 Tc
0.750 0.250 0.500 Tc

=====

Ta2TcNi, optimized geometry, DFT PBE-GGA; space group = No. 65; uncorrected energy = -10.10 eV/atom; crystal system = orthorhombic
1.0
2.788 0.006 0.000
-0.823 2.663 0.000
0.000 0.000 8.335
Ta Ni Tc
2 1 1
direct
0.000 0.000 0.988 Ta
0.000 0.000 0.512 Ta
0.500 0.500 0.750 Ni
0.500 0.500 0.250 Tc